Crystalline Ho3SbS3 at its relaxed geometry. Source: Alexandria via LeMat-Bulk, functional GGA-PBE.

Total DFT energy (no corrections): -6.001 eV/atom
V: 27.44 Å³/atom
Formation energy without anion corrections: -11.77 eV/f.u.
ρ: 6.16 g/cm³

Structure (POSCAR):
```
Ho3SbS3
1.0
-0.518 1.674 -7.652
-6.966 -0.255 -3.611
-3.573 7.410 -2.164
Ho Sb S
6 2 6
direct
0.479 0.080 0.722
0.282 0.521 0.278
0.521 0.920 0.278
0.080 0.718 0.722
0.920 0.282 0.278
0.718 0.479 0.722
0.667 0.667 0.000
0.333 0.333 0.000
0.132 0.384 0.655
0.384 0.829 0.655
0.616 0.171 0.345
0.868 0.616 0.345
0.829 0.132 0.655
0.171 0.868 0.345
```

=====

Crystalline Ho3Sb2S at its relaxed geometry. Source: Alexandria via LeMat-Bulk, functional GGA-PBE.

Total DFT energy (no corrections): -5.714 eV/atom
V: 26.50 Å³/atom
Formation energy without anion corrections: -8.18 eV/f.u.
ρ: 8.04 g/cm³

Structure (POSCAR):
```
Ho3Sb2S
1.0
7.192 0.027 -1.330
-2.757 6.643 -1.330
-0.016 -0.025 13.303
Sb Ho S
8 12 4
direct
0.419 0.419 0.838
0.998 0.498 0.996
0.748 0.748 0.496
0.581 0.581 0.162
0.252 0.252 0.504
0.502 0.002 0.004
0.831 0.331 0.662
0.669 0.169 0.338
0.322 0.835 0.173
0.769 0.769 0.000
0.928 0.915 0.327
0.231 0.231 0.000
0.019 0.519 0.500
0.085 0.072 0.673
0.851 0.339 0.173
0.165 0.678 0.827
0.399 0.411 0.327
0.481 0.981 0.500
0.661 0.149 0.827
0.589 0.601 0.673
0.917 0.917 0.833
0.083 0.083 0.167
0.167 0.667 0.333
0.333 0.833 0.667
```

=====

Crystalline Ho6Sb5S at its relaxed geometry. Source: Alexandria via LeMat-Bulk, functional GGA-PBE.

Total DFT energy (no corrections): -5.587 eV/atom
V: 28.04 Å³/atom
Formation energy without anion corrections: -14.84 eV/f.u.
ρ: 8.05 g/cm³

Structure (POSCAR):
```
Ho6Sb5S
1.0
-3.785 -3.503 -5.361
6.870 -2.248 1.755
-3.689 -2.489 5.962
Sb Ho S
5 6 1
direct
0.666 0.334 0.000
0.334 0.666 0.000
0.172 0.828 0.500
0.500 0.500 0.500
0.828 0.172 0.500
0.920 0.599 0.758
0.080 0.401 0.242
0.599 0.920 0.758
0.401 0.080 0.242
0.761 0.761 0.249
0.239 0.239 0.751
0.000 0.000 0.000
```

=====

Crystalline HoSb2S6 at its relaxed geometry. Source: Alexandria via LeMat-Bulk, functional GGA-PBE.

Total DFT energy (no corrections): -4.637 eV/atom
V: 25.15 Å³/atom
Formation energy without anion corrections: -4.14 eV/f.u.
ρ: 4.41 g/cm³

Structure (POSCAR):
```
HoSb2S6
1.0
-0.094 -5.384 2.872
-0.522 -2.855 -5.369
12.106 -0.654 -0.829
Sb S Ho
4 12 2
direct
0.000 0.000 0.665
0.500 0.500 0.165
0.500 0.500 0.835
0.000 0.000 0.335
0.187 0.813 0.500
0.803 0.197 0.171
0.303 0.303 0.671
0.813 0.187 0.500
0.197 0.803 0.829
0.697 0.697 0.671
0.803 0.197 0.829
0.697 0.697 0.329
0.687 0.687 0.000
0.313 0.313 0.000
0.197 0.803 0.171
0.303 0.303 0.329
0.500 0.500 0.500
0.000 0.000 0.000
```

=====

Crystalline Ho3Sb5S12 at its relaxed geometry. Source: Alexandria via LeMat-Bulk, functional GGA-PBE.

Total DFT energy (no corrections): -4.908 eV/atom
V: 26.13 Å³/atom
Formation energy without anion corrections: -14.28 eV/f.u.
ρ: 4.73 g/cm³

Structure (POSCAR):
```
Ho3Sb5S12
1.0
-4.859 -8.600 9.851
13.929 -0.700 -0.326
-3.933 13.070 2.885
S Ho Sb
48 12 20
direct
0.916 0.085 0.639
0.415 0.054 0.331
0.331 0.777 0.416
0.446 0.669 0.085
0.446 0.777 0.861
0.669 0.446 0.585
0.831 0.915 0.054
0.723 0.139 0.054
0.554 0.223 0.139
0.915 0.831 0.554
0.777 0.331 0.916
0.639 0.054 0.223
0.861 0.277 0.446
0.916 0.831 0.777
0.584 0.861 0.415
0.669 0.223 0.584
0.861 0.584 0.915
0.085 0.916 0.139
0.361 0.415 0.084
0.084 0.915 0.361
0.169 0.085 0.946
0.585 0.639 0.416
0.361 0.946 0.777
0.139 0.416 0.085
0.416 0.139 0.585
0.415 0.361 0.584
0.085 0.169 0.446
0.169 0.084 0.723
0.584 0.723 0.669
0.777 0.446 0.361
0.639 0.585 0.916
0.054 0.639 0.723
0.054 0.415 0.831
0.223 0.669 0.084
0.723 0.584 0.169
0.139 0.723 0.554
0.946 0.585 0.169
0.554 0.331 0.915
0.277 0.416 0.831
0.416 0.277 0.331
0.946 0.361 0.277
0.831 0.916 0.277
0.223 0.554 0.639
0.915 0.084 0.861
0.084 0.169 0.223
0.331 0.554 0.415
0.277 0.861 0.946
0.585 0.946 0.669
0.750 0.375 0.125
0.625 0.250 0.375
0.250 0.125 0.375
0.375 0.750 0.625
0.875 0.750 0.125
0.625 0.375 0.750
0.875 0.125 0.250
0.375 0.625 0.250
0.250 0.625 0.875
0.125 0.250 0.875
0.750 0.875 0.625
0.125 0.875 0.750
0.000 0.500 0.000
0.125 0.375 0.250
0.500 0.500 0.000
0.625 0.750 0.875
0.750 0.625 0.375
0.750 0.125 0.875
0.000 0.000 0.000
0.500 0.000 0.500
0.875 0.250 0.625
0.625 0.875 0.250
0.500 0.500 0.500
0.875 0.625 0.750
0.500 0.000 0.000
0.125 0.750 0.375
0.375 0.125 0.750
0.250 0.875 0.125
0.000 0.500 0.500
0.000 0.000 0.500
0.375 0.250 0.125
0.250 0.375 0.625
```

=====

Crystalline Ho3SbS2 at its relaxed geometry. Source: Alexandria via LeMat-Bulk, functional GGA-PBE.

Total DFT energy (no corrections): -5.726 eV/atom
ΔE to the lowest computed polymorph: 0.000 eV/atom
V: 24.40 Å³/atom
Formation energy without anion corrections: -8.24 eV/f.u.
ρ: 7.72 g/cm³

Structure (POSCAR):
```
Ho3SbS2
1.0
-2.552 6.145 -0.473
-1.996 -0.332 6.445
5.142 2.417 3.655
Ho S Sb
6 4 2
direct
0.750 0.456 0.894
0.250 0.544 0.106
0.750 0.923 0.077
0.250 0.894 0.456
0.750 0.106 0.544
0.250 0.077 0.923
0.000 0.190 0.190
0.500 0.190 0.190
0.500 0.810 0.810
0.000 0.810 0.810
0.250 0.420 0.580
0.750 0.580 0.420
```

=====

Crystalline Ho5SbS5 at its relaxed geometry. Source: Alexandria via LeMat-Bulk, functional GGA-PBE.

Total DFT energy (no corrections): -6.148 eV/atom
V: 24.45 Å³/atom
Formation energy without anion corrections: -19.98 eV/f.u.
ρ: 6.83 g/cm³

Structure (POSCAR):
```
Ho5SbS5
1.0
5.665 0.000 0.000
-2.832 5.851 -2.222
0.000 0.328 7.991
Ho Sb S
5 1 5
direct
0.832 0.665 0.182
0.168 0.335 0.818
0.500 0.000 0.000
0.829 0.657 0.651
0.171 0.343 0.349
0.000 0.000 0.000
0.673 0.347 0.842
0.665 0.331 0.332
0.335 0.669 0.668
0.327 0.653 0.158
0.000 0.000 0.500
```

=====

Crystalline HoSbS at its relaxed geometry. Source: Alexandria via LeMat-Bulk, functional GGA-PBE.

Total DFT energy (no corrections): -5.612 eV/atom
V: 23.89 Å³/atom
Formation energy without anion corrections: -4.01 eV/f.u.
ρ: 7.39 g/cm³

Structure (POSCAR):
```
HoSbS
1.0
4.068 0.000 0.000
0.000 4.068 0.000
-2.034 -2.034 8.662
Sb S Ho
2 2 2
direct
0.000 0.500 0.000
0.500 0.000 0.000
0.187 0.187 0.375
0.813 0.813 0.625
0.344 0.344 0.689
0.656 0.656 0.311
```

=====

Crystalline HoSbS3 at its relaxed geometry. Source: Alexandria via LeMat-Bulk, functional GGA-PBE.

Total DFT energy (no corrections): -5.352 eV/atom
ΔE to the lowest computed polymorph: 0.000 eV/atom
V: 27.27 Å³/atom
Formation energy without anion corrections: -5.68 eV/f.u.
ρ: 4.66 g/cm³

Structure (POSCAR):
```
HoSbS3
1.0
3.937 0.000 0.000
0.000 7.045 0.005
0.000 0.116 9.834
S Ho Sb
6 2 2
direct
0.750 0.423 0.685
0.250 0.220 0.991
0.750 0.780 0.009
0.750 0.100 0.316
0.250 0.577 0.315
0.250 0.900 0.684
0.250 0.925 0.175
0.750 0.075 0.825
0.250 0.588 0.813
0.750 0.412 0.187
```

=====

Crystalline Ho5SbS4 at its relaxed geometry. Source: Alexandria via LeMat-Bulk, functional GGA-PBE.

Total DFT energy (no corrections): -6.097 eV/atom
V: 22.51 Å³/atom
Formation energy without anion corrections: -17.45 eV/f.u.
ρ: 7.93 g/cm³

Structure (POSCAR):
```
Ho5SbS4
1.0
3.916 0.000 -0.756
-0.292 5.454 -1.514
0.003 -0.018 10.542
Ho S Sb
5 4 1
direct
0.611 0.111 0.222
0.801 0.301 0.602
0.389 0.889 0.778
0.000 0.500 0.000
0.199 0.699 0.398
0.398 0.398 0.796
0.602 0.602 0.204
0.205 0.205 0.410
0.795 0.795 0.590
0.000 0.000 0.000
```

=====

Crystalline Ho3Sb2S2 at its relaxed geometry. Source: Alexandria via LeMat-Bulk, functional GGA-PBE.

Total DFT energy (no corrections): -5.671 eV/atom
V: 30.31 Å³/atom
Formation energy without anion corrections: -9.47 eV/f.u.
ρ: 6.28 g/cm³

Structure (POSCAR):
```
Ho3Sb2S2
1.0
4.021 0.000 0.000
0.000 7.621 -0.409
-2.010 -2.848 7.078
Ho S Sb
3 2 2
direct
0.724 0.261 0.447
0.276 0.739 0.553
0.000 0.500 0.000
0.139 0.360 0.278
0.861 0.640 0.722
0.369 0.187 0.737
0.631 0.813 0.263
```

=====

Crystalline Ho4SbSeS2 at its relaxed geometry. Source: Alexandria via LeMat-Bulk, functional GGA-PBE.

Total DFT energy (no corrections): -5.948 eV/atom
V: 23.58 Å³/atom
Formation energy without anion corrections: -13.41 eV/f.u.
ρ: 8.14 g/cm³

Structure (POSCAR):
```
Ho4SbSeS2
1.0
-2.500 -5.038 -5.844
6.015 -5.120 1.840
-5.182 2.435 5.767
Ho Sb S Se
8 2 4 2
direct
0.257 0.243 0.977
0.253 0.774 0.513
0.274 0.753 0.013
0.743 0.757 0.023
0.257 0.243 0.523
0.726 0.247 0.987
0.747 0.226 0.487
0.743 0.757 0.477
0.000 0.000 0.000
0.500 0.500 0.500
0.500 0.000 0.500
0.500 0.000 0.000
0.500 0.500 0.000
0.000 0.000 0.500
0.000 0.500 0.000
0.000 0.500 0.500
```

=====

Crystalline Ho6SbSe2S3 at its relaxed geometry. Source: Alexandria via LeMat-Bulk, functional GGA-PBE.

Total DFT energy (no corrections): -5.985 eV/atom
V: 23.12 Å³/atom
Formation energy without anion corrections: -20.88 eV/f.u.
ρ: 8.17 g/cm³

Structure (POSCAR):
```
Ho6SbSe2S3
1.0
3.998 0.000 0.000
0.000 8.123 0.229
-1.999 -2.406 8.477
S Sb Ho Se
3 1 6 2
direct
0.834 0.171 0.669
0.166 0.829 0.331
0.500 0.500 0.000
0.500 0.000 0.000
0.326 0.933 0.651
0.005 0.729 0.009
0.661 0.595 0.322
0.339 0.405 0.678
0.995 0.271 0.991
0.674 0.067 0.349
0.831 0.666 0.662
0.169 0.334 0.338
```

=====

Crystalline Ho6SbTe3S2 at its relaxed geometry. Source: Alexandria via LeMat-Bulk, functional GGA-PBE.

Total DFT energy (no corrections): -5.580 eV/atom
V: 26.18 Å³/atom
Formation energy without anion corrections: -17.69 eV/f.u.
ρ: 8.24 g/cm³

Structure (POSCAR):
```
Ho6SbTe3S2
1.0
-4.133 4.337 3.982
-1.963 -6.838 -1.069
5.562 -1.076 4.769
Te Ho S Sb
3 6 2 1
direct
0.159 0.841 0.500
0.500 0.500 0.500
0.841 0.159 0.500
0.572 0.927 0.784
0.428 0.073 0.216
0.713 0.713 0.209
0.927 0.572 0.784
0.287 0.287 0.791
0.073 0.428 0.216
0.668 0.332 0.000
0.332 0.668 0.000
0.000 0.000 0.000
```

=====

Crystalline Ho4SbTe2S at its relaxed geometry. Source: Alexandria via LeMat-Bulk, functional GGA-PBE.

Total DFT energy (no corrections): -5.505 eV/atom
V: 27.05 Å³/atom
Formation energy without anion corrections: -11.19 eV/f.u.
ρ: 8.20 g/cm³

Structure (POSCAR):
```
Ho4SbTe2S
1.0
-0.388 -3.803 -1.733
5.049 1.837 -5.160
6.660 -1.794 2.447
Ho S Te Sb
4 1 2 1
direct
0.500 0.275 0.764
0.000 0.713 0.781
0.500 0.725 0.236
0.000 0.287 0.219
0.500 0.500 0.000
0.500 0.000 0.500
0.000 0.000 0.000
0.000 0.500 0.500
```

=====

Crystalline Ho8Sb3Te4S at its relaxed geometry. Source: Alexandria via LeMat-Bulk, functional GGA-PBE.

Total DFT energy (no corrections): -5.410 eV/atom
V: 28.17 Å³/atom
Formation energy without anion corrections: -20.88 eV/f.u.
ρ: 8.20 g/cm³

Structure (POSCAR):
```
Ho8Sb3Te4S
1.0
8.575 0.000 0.000
0.000 8.639 0.038
-4.287 -4.283 6.067
Sb Ho S Te
3 8 1 4
direct
0.000 0.500 0.500
0.500 0.500 0.000
0.500 0.500 0.500
0.232 0.726 0.464
0.746 0.739 0.493
0.232 0.726 0.994
0.762 0.726 0.994
0.254 0.261 0.507
0.768 0.274 0.536
0.238 0.274 0.006
0.768 0.274 0.006
0.000 0.500 0.000
0.000 0.000 0.000
0.500 0.000 0.000
0.000 0.000 0.500
0.500 0.000 0.500
```

=====

Crystalline HoTl2SbS4 at its relaxed geometry. Source: Alexandria via LeMat-Bulk, functional GGA-PBE.

Total DFT energy (no corrections): -4.613 eV/atom
V: 26.08 Å³/atom
Formation energy without anion corrections: -6.96 eV/f.u.
ρ: 6.56 g/cm³

Structure (POSCAR):
```
HoTl2SbS4
1.0
-6.067 3.982 4.211
-5.024 -6.649 -0.966
7.453 -0.972 3.497
S Ho Sb Tl
8 2 2 4
direct
0.201 0.731 0.966
0.767 0.733 0.973
0.233 0.267 0.027
0.769 0.299 0.534
0.233 0.267 0.473
0.799 0.269 0.034
0.767 0.733 0.527
0.231 0.701 0.466
0.000 0.500 0.500
0.000 0.500 0.000
0.000 0.000 0.000
0.500 0.500 0.500
0.500 0.000 0.000
0.500 0.000 0.500
0.000 0.000 0.500
0.500 0.500 0.000
```